# AlNi5B (GGA-PBE, optimized geometry)
data_AlNi5B
_space_group_name_H-M_alt 'P 4/m m m'
_space_group_IT_number 123
_space_group_name_Hall '-P 4 2'
_cell_length_a 3.481
_cell_length_b 3.481
_cell_length_c 6.098
_cell_angle_alpha 90.00
_cell_angle_beta 90.00
_cell_angle_gamma 90.00
loop_
_atom_site_label
_atom_site_fract_x
_atom_site_fract_y
_atom_site_fract_z
Al1 0.000 0.000 0.000
Ni1 0.000 0.500 0.304
Ni2 0.500 0.500 0.000
B1 0.500 0.500 0.500
# Total energy ... -5.9452 eV/atom
# V ... 10.6 A^3/atom
# Total moment ... 0.1 μB per formula unit



# Be2Cu2Ag (GGA-PBE, optimized geometry)
data_Be2Cu2Ag
_space_group_name_H-M_alt 'P 4/m b m'
_space_group_IT_number 127
_space_group_name_Hall '-P 4 2ab'
_cell_length_a 6.484
_cell_length_b 6.484
_cell_length_c 2.723
_cell_angle_alpha 90.00
_cell_angle_beta 90.00
_cell_angle_gamma 90.00
loop_
_atom_site_label
_atom_site_fract_x
_atom_site_fract_y
_atom_site_fract_z
Be1 0.128 0.372 0.000
Cu1 0.158 0.658 0.500
Ag1 0.000 0.000 0.000
# Total energy ... -3.6912 eV/atom
# ΔE to the lowest computed polymorph ... 0 meV/atom
# V ... 11.4 A^3/atom
# Total moment ... 0.0 μB per formula unit



# Nd2Si3Au6 (GGA-PBE, optimized geometry)
data_Nd2Si3Au6
_space_group_name_H-M_alt 'P -6 2 m'
_space_group_IT_number 189
_space_group_name_Hall 'P -6 -2'
_cell_length_a 7.6973
_cell_length_b 7.6973
_cell_length_c 4.3683
_cell_angle_alpha 90.00
_cell_angle_beta 90.00
_cell_angle_gamma 120.00
loop_
_atom_site_label
_atom_site_fract_x
_atom_site_fract_y
_atom_site_fract_z
Nd1 0.3333 0.6667 0.0000
Si1 0.0000 0.6460 0.5000
Au1 0.0000 0.3281 0.5000
Au2 0.0000 0.7867 0.0000
# Total energy ... -4.6917 eV/atom
# V ... 20.4 A^3/atom
# Total moment ... 0.0 μB per formula unit



# LiPuTlRu (GGA-PBE, optimized geometry)
data_LiPuTlRu
_space_group_name_H-M_alt 'F -4 3 m'
_space_group_IT_number 216
_space_group_name_Hall 'F -4 2 3'
_cell_length_a 6.781
_cell_length_b 6.781
_cell_length_c 6.781
_cell_angle_alpha 90.00
_cell_angle_beta 90.00
_cell_angle_gamma 90.00
loop_
_atom_site_label
_atom_site_fract_x
_atom_site_fract_y
_atom_site_fract_z
Li1 0.000 0.000 0.000
Pu1 0.250 0.250 0.750
Tl1 0.250 0.250 0.250
Ru1 0.000 0.000 0.500
# Total energy ... -6.9060 eV/atom
# V ... 19.5 A^3/atom
# Total moment ... 5.3 μB per formula unit



# NbAlF2 (GGA-PBE, optimized geometry)
data_NbAlF2
_space_group_name_H-M_alt 'R -3 m'
_space_group_IT_number 166
_space_group_name_Hall '-R 3 2"'
_cell_length_a 3.4059
_cell_length_b 3.4059
_cell_length_c 16.4695
_cell_angle_alpha 90.00
_cell_angle_beta 90.00
_cell_angle_gamma 120.00
loop_
_atom_site_label
_atom_site_fract_x
_atom_site_fract_y
_atom_site_fract_z
Nb1 0.0000 0.0000 0.0000
Al1 0.0000 0.0000 0.5000
F1 0.0000 0.0000 0.1352
# Total energy ... -5.4308 eV/atom
# ΔE to the lowest computed polymorph ... 368 meV/atom
# V ... 13.8 A^3/atom
# Total moment ... 0.0 μB per formula unit



# RbLi2SbBr6 (GGA-PBE, optimized geometry)
data_RbLi2SbBr6
_space_group_name_H-M_alt 'R -3'
_space_group_IT_number 148
_space_group_name_Hall '-R 3'
_cell_length_a 7.0093
_cell_length_b 7.0093
_cell_length_c 25.0789
_cell_angle_alpha 90.00
_cell_angle_beta 90.00
_cell_angle_gamma 120.00
loop_
_atom_site_label
_atom_site_fract_x
_atom_site_fract_y
_atom_site_fract_z
Rb1 0.0000 0.0000 0.0000
Li1 0.0000 0.0000 0.1697
Sb1 0.0000 0.0000 0.5000
Br1 0.0020 0.6630 0.4380
# Total energy ... -3.1144 eV/atom
# V ... 35.6 A^3/atom
# Total moment ... 0.0 μB per formula unit



# FeGe2S (GGA-PBE, optimized geometry)
data_FeGe2S
_space_group_name_H-M_alt 'F m -3 m'
_space_group_IT_number 225
_space_group_name_Hall '-F 4 2 3'
_cell_length_a 6.261
_cell_length_b 6.261
_cell_length_c 6.261
_cell_angle_alpha 90.00
_cell_angle_beta 90.00
_cell_angle_gamma 90.00
loop_
_atom_site_label
_atom_site_fract_x
_atom_site_fract_y
_atom_site_fract_z
Fe1 0.000 0.000 0.000
Ge1 0.250 0.250 0.250
S1 0.000 0.000 0.500
# Total energy ... -4.8597 eV/atom
# ΔE to the lowest computed polymorph ... 270 meV/atom
# V ... 15.3 A^3/atom
# Total moment ... 2.3 μB per formula unit



# Er3Tm4Sc (GGA-PBE, optimized geometry)
data_Er3Tm4Sc
_space_group_name_H-M_alt 'P m n 21'
_space_group_IT_number 31
_space_group_name_Hall 'P 2ac -2'
_cell_length_a 10.974
_cell_length_b 7.088
_cell_length_c 6.123
_cell_angle_alpha 90.00
_cell_angle_beta 90.00
_cell_angle_gamma 90.00
loop_
_atom_site_label
_atom_site_fract_x
_atom_site_fract_y
_atom_site_fract_z
Er1 0.000 0.124 0.000
Er2 0.250 0.124 0.333
Tm1 0.000 0.374 0.503
Tm2 0.000 0.626 0.999
Tm3 0.247 0.626 0.336
Sc1 0.000 0.875 0.500
# Total energy ... -4.7335 eV/atom
# ΔE to the lowest computed polymorph ... 0 meV/atom
# V ... 29.8 A^3/atom
# Total moment ... 0.0 μB per formula unit



# FeSiAgGe2 (GGA-PBE, optimized geometry)
data_FeSiAgGe2
_space_group_name_H-M_alt 'P 4/m m m'
_space_group_IT_number 123
_space_group_name_Hall '-P 4 2'
_cell_length_a 4.595
_cell_length_b 4.595
_cell_length_c 4.387
_cell_angle_alpha 90.00
_cell_angle_beta 90.00
_cell_angle_gamma 90.00
loop_
_atom_site_label
_atom_site_fract_x
_atom_site_fract_y
_atom_site_fract_z
Fe1 0.000 0.000 0.000
Si1 0.000 0.000 0.500
Ag1 0.500 0.500 0.500
Ge1 0.000 0.500 0.000
# Total energy ... -4.8713 eV/atom
# V ... 18.5 A^3/atom
# Total moment ... 0.0 μB per formula unit



# La2TbHo5Th (GGA-PBE, optimized geometry)
data_La2TbHo5Th
_space_group_name_H-M_alt 'C m c 21'
_space_group_IT_number 36
_space_group_name_Hall 'C 2c -2'
_cell_length_a 5.630
_cell_length_b 19.756
_cell_length_c 10.932
_cell_angle_alpha 90.00
_cell_angle_beta 90.00
_cell_angle_gamma 90.00
loop_
_atom_site_label
_atom_site_fract_x
_atom_site_fract_y
_atom_site_fract_z
La1 0.000 0.115 0.000
La2 0.000 0.116 0.583
Tb1 0.000 0.202 0.274
Ho1 0.000 0.015 0.294
Ho2 0.000 0.282 0.575
Ho3 0.000 0.299 0.974
Ho4 0.000 0.392 0.287
Ho5 0.000 0.481 0.003
Th1 0.000 0.418 0.727
# Total energy ... -4.8128 eV/atom
# V ... 33.8 A^3/atom
# Total moment ... 0.0 μB per formula unit



# ReSbPdI2 (GGA-PBE, optimized geometry)
data_ReSbPdI2
_space_group_name_H-M_alt 'P 4/m m m'
_space_group_IT_number 123
_space_group_name_Hall '-P 4 2'
_cell_length_a 5.398
_cell_length_b 5.398
_cell_length_c 5.399
_cell_angle_alpha 90.00
_cell_angle_beta 90.00
_cell_angle_gamma 90.00
loop_
_atom_site_label
_atom_site_fract_x
_atom_site_fract_y
_atom_site_fract_z
Re1 0.000 0.000 0.000
Sb1 0.500 0.500 0.000
Pd1 0.500 0.500 0.500
I1 0.000 0.500 0.500
# Total energy ... -3.6704 eV/atom
# ΔE to the lowest computed polymorph ... 255 meV/atom
# V ... 31.5 A^3/atom
# Total moment ... 4.2 μB per formula unit



# Na2InIrO6 (GGA-PBE, optimized geometry)
data_Na2InIrO6
_space_group_name_H-M_alt 'P 1 21/c 1'
_space_group_IT_number 14
_space_group_name_Hall '-P 2ybc'
_cell_length_a 5.511
_cell_length_b 5.636
_cell_length_c 9.601
_cell_angle_alpha 90.00
_cell_angle_beta 124.80
_cell_angle_gamma 90.00
loop_
_atom_site_label
_atom_site_fract_x
_atom_site_fract_y
_atom_site_fract_z
Na1 0.240 0.047 0.250
In1 0.500 0.000 0.000
Ir1 0.000 0.000 0.500
O1 0.125 0.216 0.947
O2 0.237 0.685 0.952
O3 0.330 0.030 0.733
# Total energy ... -5.5083 eV/atom
# V ... 12.2 A^3/atom
# Total moment ... 2.0 μB per formula unit